1.
Material: TmInSe3
Method: DFT, PBE-GGA
State: relaxed

Structure (extended XYZ):
```
10
Lattice="4.158 0.000 0.000 0.000 6.538 -1.878 0.000 -0.083 12.031" Properties=species:S:1:pos:R:3 pbc="T T T"
Tm 3.119 2.597 3.462
Tm 1.040 0.281 7.719
In 1.040 5.129 1.558
In 3.119 3.437 7.989
Se 3.119 3.697 0.804
Se 3.119 5.958 7.505
Se 1.040 0.984 2.509
Se 1.040 4.486 4.177
Se 1.040 2.623 9.388
Se 3.119 1.502 6.110
```

Computed properties:
Calculated volume   32.65 Å³ per atom
Energy above the lowest structure with this stoichiometry   0.000 eV per atom

---

2.
Material: TmIn3Se6
Method: DFT, PBE-GGA
State: relaxed

Structure (extended XYZ):
```
20
Lattice="-2.133 -3.361 -0.795 7.190 -6.245 7.103 -8.842 4.256 5.733" Properties=species:S:1:pos:R:3 pbc="T T T"
Tm 3.660 -5.511 8.289
Tm -7.446 0.161 3.752
Se -1.452 -0.944 2.702
Se -0.102 -2.569 5.948
Se -3.684 -2.781 6.093
Se -4.484 -0.618 9.459
Se 1.219 -4.199 9.295
Se -8.048 2.585 5.483
Se 1.499 -6.108 6.251
Se 4.262 -7.935 6.558
Se -5.005 -1.150 2.746
Se 0.698 -4.732 2.582
Se -5.285 0.759 5.789
Se -2.334 -4.406 9.339
In -5.842 -1.693 7.286
In -2.554 -2.184 10.902
In -3.040 -0.452 4.884
In -1.232 -3.165 1.139
In -0.746 -4.897 7.157
In 2.056 -3.656 4.755
```

Computed properties:
Total DFT energy (no corrections)   -83.0 eV for the cell shown
Calculated volume   25.50 Å³ per atom

---

3.
Material: Tm3InSe2
Method: DFT, PBE-GGA
State: relaxed

Structure (extended XYZ):
```
6
Lattice="3.829 -0.114 -0.985 -0.473 5.323 -2.456 -0.150 0.127 7.346" Properties=species:S:1:pos:R:3 pbc="T T T"
In 1.915 -0.057 -0.492
Tm 0.540 0.964 1.986
Tm 1.678 2.605 -1.720
Tm 2.666 4.372 1.920
Se 0.270 3.565 0.632
Se 2.936 1.771 3.273
```

Computed properties:
Total DFT energy (no corrections)   -30.6 eV for the cell shown
Calculated volume   24.96 Å³ per atom

---

4.
Material: Tm3InSe6
Method: DFT, PBE-GGA
State: relaxed

Structure (extended XYZ):
```
20
Lattice="6.838 0.000 0.000 0.000 8.903 0.015 0.000 -1.972 8.682" Properties=species:S:1:pos:R:3 pbc="T T T"
Se 4.668 4.219 6.069
Se 1.248 -1.618 8.400
Se 4.666 8.549 0.297
Se 0.908 6.502 1.929
Se 4.926 4.703 0.871
Se 4.926 7.131 3.918
Se 1.249 2.712 2.628
Se 1.507 2.228 7.826
Se 4.327 0.429 6.768
Se 1.507 -0.200 4.779
Se 1.249 4.975 5.467
Se 4.668 1.957 3.230
In 0.063 0.244 6.916
In 3.482 6.688 1.781
Tm 2.646 2.450 5.158
Tm 6.728 4.585 7.928
Tm 6.728 0.226 2.459
Tm 3.309 6.705 6.239
Tm 6.065 4.481 3.539
Tm 3.309 2.346 0.769
```

Computed properties:
Total DFT energy (no corrections)   -103.9 eV for the cell shown
Calculated volume   26.44 Å³ per atom

---

5.
Material: Tm2InSe4
Method: DFT, PBE-GGA
State: relaxed

Structure (extended XYZ):
```
14
Lattice="8.367 0.301 -0.144 -0.303 8.367 0.143 -3.928 -4.432 5.918" Properties=species:S:1:pos:R:3 pbc="T T T"
In 8.365 0.302 -0.144
In -0.097 4.133 3.030
Se 0.012 1.841 4.593
Se 4.328 -1.837 4.211
Se 4.192 1.997 4.277
Se 2.140 4.242 1.389
Se 6.128 0.194 1.497
Se 0.148 -1.993 4.528
Se 2.294 0.054 1.562
Se 5.974 4.382 1.323
Tm 2.170 0.002 4.402
Tm 3.982 6.401 1.514
Tm 4.134 2.218 1.443
Tm -2.013 -0.149 4.474
```

Computed properties:
Total DFT energy (no corrections)   -71.3 eV for the cell shown
Calculated volume   29.65 Å³ per atom

---

6.
Material: Tm2InSe
Method: DFT, PBE-GGA
State: relaxed

Structure (extended XYZ):
```
4
Lattice="-0.574 -3.662 -0.954 2.590 -2.653 0.949 -3.138 -3.326 6.981" Properties=species:S:1:pos:R:3 pbc="T T T"
Tm -0.963 -7.270 5.456
Tm -0.159 -2.371 1.521
Se 0.000 0.000 0.000
In -0.561 -4.821 3.489
```

Computed properties:
Calculated volume   25.53 Å³ per atom
Energy above the lowest structure with this stoichiometry   0.000 eV per atom

---

7.
Material: Tm2InSe
Method: DFT, PBE-GGA
State: relaxed

Structure (extended XYZ):
```
16
Lattice="5.987 0.000 0.000 0.000 5.988 -0.236 0.000 -1.350 11.643" Properties=species:S:1:pos:R:3 pbc="T T T"
Tm 4.491 2.501 7.007
Tm 1.498 5.134 7.085
Tm 4.489 2.815 1.382
Tm 1.496 2.137 4.400
Tm 1.496 0.182 1.303
Tm 4.491 4.456 10.103
Tm 4.489 -0.496 4.322
Tm 1.498 1.823 10.025
In 4.492 -0.462 7.463
In 1.496 3.206 1.524
In 1.496 5.100 3.943
In 4.492 1.432 9.883
Se 4.490 2.438 4.235
Se 4.490 -0.119 1.468
Se 1.498 4.756 9.938
Se 1.498 2.200 7.172
```

Computed properties:
Calculated volume   25.97 Å³ per atom
Energy above the lowest structure with this stoichiometry   0.086 eV per atom

---

8.
Material: TmIn6Se8
Method: DFT, PBE-GGA
State: relaxed

Structure (extended XYZ):
```
15
Lattice="7.530 0.226 0.233 -0.009 7.534 0.233 -0.009 -0.009 7.537" Properties=species:S:1:pos:R:3 pbc="T T T"
Se 6.370 2.495 1.557
Se 1.142 5.255 6.447
Se 5.043 5.203 5.373
Se 2.295 1.349 6.492
Se 6.236 1.337 5.460
Se 5.217 6.402 1.512
Se 2.469 2.548 2.631
Se 1.277 6.413 2.544
In 2.873 6.792 4.954
In 4.641 3.019 6.948
In 2.871 4.732 1.056
In 0.814 2.898 4.763
In 6.699 4.853 3.241
In 4.640 0.959 3.050
Tm 0.000 0.000 0.000
```

Computed properties:
Total DFT energy (no corrections)   -57.5 eV for the cell shown
Calculated volume   28.51 Å³ per atom

---

9.
Material: Tm4InSe2
Method: DFT, PBE-GGA
State: relaxed

Structure (extended XYZ):
```
14
Lattice="-3.611 -0.381 1.650 1.525 -6.124 -2.897 5.775 -4.095 11.697" Properties=species:S:1:pos:R:3 pbc="T T T"
Se 0.248 -1.959 0.091
Se 1.203 -7.054 5.827
Se 2.486 -3.546 4.623
Se 3.441 -8.641 10.359
Tm 0.210 -5.131 4.098
Tm 1.402 -1.959 2.618
Tm 2.287 -8.641 7.833
Tm 3.478 -5.469 6.352
Tm -1.806 -0.190 0.825
Tm 4.926 -6.495 9.283
Tm 1.082 -2.238 6.673
Tm -1.237 -4.104 1.167
In 2.469 -4.542 9.178
In 1.220 -6.057 1.273
```

Computed properties:
Calculated volume   25.91 Å³ per atom
Energy above the lowest structure with this stoichiometry   0.000 eV per atom

---

10.
Material: Tm4InSe2
Method: DFT, PBE-GGA
State: relaxed

Structure (extended XYZ):
```
7
Lattice="-0.794 0.490 -3.699 -0.153 -3.014 -2.333 -14.439 -2.320 0.826" Properties=species:S:1:pos:R:3 pbc="T T T"
Tm -8.703 -1.719 -0.326
Tm -2.528 -1.073 -1.566
Tm -12.859 -3.771 -3.640
Tm -6.684 -3.125 -4.880
Se -4.552 -2.093 -3.234
Se -10.835 -2.751 -1.972
In 0.000 0.000 0.000
```

Computed properties:
Calculated volume   26.07 Å³ per atom
Energy above the lowest structure with this stoichiometry   0.034 eV per atom

---

11.
Material: TmInSe3
Method: DFT, PBE-GGA
State: relaxed

Structure (extended XYZ):
```
10
Lattice="-3.985 -1.079 -0.239 0.893 -4.447 5.196 -3.337 11.589 3.314" Properties=species:S:1:pos:R:3 pbc="T T T"
In -3.175 -1.234 4.844
In -3.255 7.297 3.427
Se -2.899 5.573 5.275
Se -2.448 -3.796 4.291
Se -2.160 3.708 1.386
Se -3.982 9.858 3.979
Se -4.270 2.355 6.885
Se -3.531 0.489 2.996
Tm -5.034 5.139 7.050
Tm -1.396 0.924 1.221
```

Computed properties:
Calculated volume   32.17 Å³ per atom
Energy above the lowest structure with this stoichiometry   0.020 eV per atom

---

12.
Material: Tm2InSe
Method: DFT, PBE-GGA
State: relaxed

Structure (extended XYZ):
```
4
Lattice="3.804 0.000 0.000 1.902 3.295 0.000 1.902 1.098 8.219" Properties=species:S:1:pos:R:3 pbc="T T T"
Tm 1.902 1.098 1.762
Tm 1.902 1.098 6.466
Se 5.707 3.295 8.200
In 3.804 2.197 4.119
```

Computed properties:
Calculated volume   25.76 Å³ per atom
Energy above the lowest structure with this stoichiometry   0.046 eV per atom

---

Q: calculated volume of number 1 (TmInSe3)?
A: 32.65 Å³ per atom

---

Q: calculated volume of number 8 (TmIn6Se8)?
A: 28.51 Å³ per atom